A relaxed TiSb2TeH crystal. Source: Alexandria via LeMat-Bulk, functional PBE.

The total energy is -20.66 eV for the cell shown. The density of states at the Fermi level comes out at 0.90 states/eV per atom. Its distance to the lowest polymorph of the same formula is 0 meV per atom. The calculation puts the volume at 104.5 Å³/cell.

The space group is P4/mmm (No. 123) and the conventional cell measures 4.319, 4.319 and 5.603 Å, with angles of 90.00, 90.00 and 90.00 degrees. The distinct sites, in fractional coordinates, are Ti at (0.000, 0.000, 0.000), Sb at (0.000, 0.500, 0.500), Te at (0.500, 0.500, 0.000) and H at (0.500, 0.500, 0.500).

---

A relaxed SrZnCr2 crystal. Source: Alexandria via LeMat-Bulk, functional PBE.

The formation energy is 0.80 eV/atom. The total energy is -76.05 eV for the cell shown. The density of states at the Fermi level comes out at 1.00 states/eV per atom. The calculation puts the volume at 363.3 Å³/cell.

The space group is F-43m (No. 216) and the conventional cell measures 7.135, 7.135 and 7.135 Å, with angles of 90.00, 90.00 and 90.00 degrees. The distinct sites, in fractional coordinates, are Sr at (0.000, 0.000, 0.000), Zn at (0.250, 0.250, 0.250), Cr at (0.000, 0.000, 0.500) and Cr at (0.250, 0.250, 0.750).

---

A relaxed ReSiSb2 crystal. Source: Alexandria via LeMat-Bulk, functional PBE.

The total energy is -45.89 eV for the cell shown. The density of states at the Fermi level comes out at 0.18 states/eV per atom. The uncorrected formation energy comes out at 792 meV per atom. The calculation puts the volume at 153.6 Å³/cell.

The space group is I-4m2 (No. 119) and the conventional cell measures 4.764, 4.764 and 6.769 Å, with angles of 90.00, 90.00 and 90.00 degrees. The distinct sites, in fractional coordinates, are Re at (0.000, 0.000, 0.000), Si at (0.000, 0.500, 0.250), Sb at (0.000, 0.000, 0.500) and Sb at (0.000, 0.500, 0.750).